VASP calculation (GGA-PBE) on a relaxed structure of CaPmAu10.

Output
size of the total moment = 0.000 μB/cell
V = 21.234 Å³/atom
calculated total energy = -3.688 eV/atom
ΔE_f = -0.395 eV per atom

Cell lengths 4.7407, 5.5546, 9.6766 Å; angles 90.00, 90.00, 90.00 degrees
Atoms (fractional coordinates):
Ca 0.0000 0.0000 0.0000
Pm 0.0000 0.5000 0.5000
Au 0.0000 0.0000 0.3339
Au 0.0000 0.0000 0.6661
Au 0.0000 0.5000 0.1657
Au 0.0000 0.5000 0.8343
Au 0.5000 0.0000 0.5000
Au 0.5000 0.2517 0.2524
Au 0.5000 0.2517 0.7476
Au 0.5000 0.5000 0.0000
Au 0.5000 0.7483 0.2524
Au 0.5000 0.7483 0.7476

VASP calculation (GGA-PBE) on a relaxed structure of CaPm4Au5.

Output
size of the total moment = 0.000 μB/cell
V = 25.069 Å³/atom
calculated total energy = -4.527 eV/atom
ΔE_f = -0.788 eV per atom

Cell lengths 3.6685, 3.6685, 18.6283 Å; angles 90.00, 90.00, 90.00 degrees
Atoms (fractional coordinates):
Ca 0.0000 0.0000 0.0000
Pm 0.0000 0.0000 0.1977
Pm 0.0000 0.0000 0.3998
Pm 0.0000 0.0000 0.6002
Pm 0.0000 0.0000 0.8023
Au 0.5000 0.5000 0.1042
Au 0.5000 0.5000 0.2992
Au 0.5000 0.5000 0.5000
Au 0.5000 0.5000 0.7008
Au 0.5000 0.5000 0.8958

VASP calculation (GGA-PBE) on a relaxed structure of CaPmAu.

Output
size of the total moment = 0.000 μB/cell
V = 29.853 Å³/atom
calculated total energy = -3.852 eV/atom
E above lowest polymorph = 0.04 eV/f.u.
ΔE_f = -0.509 eV per atom

Cell lengths 7.0115, 7.0115, 7.0115 Å; angles 149.31, 149.31, 43.96 degrees
Atoms (fractional coordinates):
Ca 0.0000 0.0000 0.0000
Pm 0.2695 0.2695 0.0000
Au 0.6444 0.6444 0.0000

VASP calculation (GGA-PBE) on a relaxed structure of CaPmAu3.

Output
size of the total moment = 0.000 μB/cell
V = 24.226 Å³/atom
calculated total energy = -4.065 eV/atom
E above lowest polymorph = 0.00 eV/f.u.
ΔE_f = -0.748 eV per atom

Cell lengths 14.2107, 14.2107, 4.6685 Å; angles 90.00, 90.00, 165.11 degrees
Atoms (fractional coordinates):
Ca 0.2077 0.7923 0.7500
Ca 0.7923 0.2077 0.2500
Pm 0.0726 0.9274 0.2500
Pm 0.9274 0.0726 0.7500
Au 0.3201 0.6799 0.7500
Au 0.3785 0.6215 0.2500
Au 0.4754 0.5246 0.2500
Au 0.5246 0.4754 0.7500
Au 0.6215 0.3785 0.7500
Au 0.6799 0.3201 0.2500

VASP calculation (GGA-PBE) on a relaxed structure of Ca2Pm2Au5.

Output
size of the total moment = 0.000 μB/cell
V = 26.756 Å³/atom
calculated total energy = -4.020 eV/atom
ΔE_f = -0.699 eV per atom

Cell lengths 8.5283, 8.5283, 7.9956 Å; angles 90.00, 90.00, 55.91 degrees
Atoms (fractional coordinates):
Ca 0.1959 0.1959 0.0000
Ca 0.3041 0.3041 0.5000
Ca 0.6959 0.6959 0.5000
Ca 0.8041 0.8041 0.0000
Pm 0.1594 0.8406 0.6589
Pm 0.3406 0.6594 0.1589
Pm 0.6594 0.3406 0.8411
Pm 0.8406 0.1594 0.3411
Au 0.0000 0.0000 0.0000
Au 0.0066 0.7278 0.3591
Au 0.2278 0.5066 0.8591
Au 0.2722 0.9934 0.3591
Au 0.4934 0.7722 0.8591
Au 0.5000 0.5000 0.5000
Au 0.5066 0.2278 0.1409
Au 0.7278 0.0066 0.6409
Au 0.7722 0.4934 0.1409
Au 0.9934 0.2722 0.6409

VASP calculation (GGA-PBE) on a relaxed structure of CaPmAu.

Output
size of the total moment = 0.000 μB/cell
V = 29.260 Å³/atom
calculated total energy = -3.688 eV/atom
E above lowest polymorph = 0.53 eV/f.u.
ΔE_f = -0.344 eV per atom

Cell lengths 4.9525, 4.9525, 4.1324 Å; angles 90.00, 90.00, 120.00 degrees
Atoms (fractional coordinates):
Ca 0.0000 0.0000 0.0000
Pm 0.3333 0.6667 0.4788
Au 0.6667 0.3333 0.7296

VASP calculation (GGA-PBE) on a relaxed structure of CaPmPtAu.

Output
size of the total moment = 0.000 μB/cell
V = 23.264 Å³/atom
calculated total energy = -4.926 eV/atom
E above lowest polymorph = 0.15 eV/f.u.
ΔE_f = -0.908 eV per atom

Cell lengths 5.0865, 5.0865, 5.0865 Å; angles 60.00, 60.00, 60.00 degrees
Atoms (fractional coordinates):
Ca 0.0000 0.0000 0.0000
Pm 0.5000 0.5000 0.5000
Pt 0.2500 0.2500 0.2500
Au 0.7500 0.7500 0.7500

VASP calculation (GGA-PBE) on a relaxed structure of CaPmPtAu.

Output
size of the total moment = 0.000 μB/cell
V = 24.614 Å³/atom
calculated total energy = -4.964 eV/atom
E above lowest polymorph = 0.00 eV/f.u.
ΔE_f = -0.946 eV per atom

Cell lengths 4.4537, 5.9246, 5.9246 Å; angles 39.04, 90.00, 90.00 degrees
Atoms (fractional coordinates):
Ca 0.0000 0.0000 0.0000
Pm 0.5000 0.7221 0.7221
Pt 0.0000 0.2697 0.2697
Au 0.5000 0.4421 0.4421

VASP calculation (GGA-PBE) on a relaxed structure of CaPmRhAu.

Output
size of the total moment = 0.000 μB/cell
V = 22.637 Å³/atom
calculated total energy = -5.005 eV/atom
E above lowest polymorph = 0.19 eV/f.u.
ΔE_f = -0.660 eV per atom

Cell lengths 5.0404, 5.0404, 5.0404 Å; angles 60.00, 60.00, 60.00 degrees
Atoms (fractional coordinates):
Ca 0.0000 0.0000 0.0000
Pm 0.5000 0.5000 0.5000
Rh 0.2500 0.2500 0.2500
Au 0.7500 0.7500 0.7500

VASP calculation (GGA-PBE) on a relaxed structure of CaPmRhAu.

Output
size of the total moment = 0.000 μB/cell
V = 24.003 Å³/atom
calculated total energy = -5.052 eV/atom
E above lowest polymorph = 0.00 eV/f.u.
ΔE_f = -0.707 eV per atom

Cell lengths 4.3016, 5.9746, 5.9746 Å; angles 38.70, 90.00, 90.00 degrees
Atoms (fractional coordinates):
Ca 0.0000 0.0000 0.0000
Pm 0.5000 0.7170 0.7170
Rh 0.0000 0.2685 0.2685
Au 0.5000 0.4366 0.4366

VASP calculation (GGA-PBE) on a relaxed structure of CaPmSiAu.

Output
size of the total moment = 0.000 μB/cell
V = 24.074 Å³/atom
calculated total energy = -4.511 eV/atom
formation energy without anion corrections = -648 meV/atom

Cell lengths 5.1448, 5.1448, 5.1448 Å; angles 60.00, 60.00, 60.00 degrees
Atoms (fractional coordinates):
Ca 0.0000 0.0000 0.0000
Pm 0.5000 0.5000 0.5000
Si 0.7500 0.7500 0.7500
Au 0.2500 0.2500 0.2500

VASP calculation (GGA-PBE) on a relaxed structure of SrCa2PmAu4.

Output
size of the total moment = 0.000 μB/cell
V = 25.437 Å³/atom
calculated total energy = -3.724 eV/atom
ΔE_f = -0.781 eV per atom

Cell lengths 9.0981, 9.0981, 9.0981 Å; angles 33.43, 33.43, 33.43 degrees
Atoms (fractional coordinates):
Sr 0.0000 0.0000 0.0000
Ca 0.2505 0.2505 0.2505
Ca 0.7495 0.7495 0.7495
Pm 0.5000 0.5000 0.5000
Au 0.1307 0.1307 0.1307
Au 0.3803 0.3803 0.3803
Au 0.6197 0.6197 0.6197
Au 0.8693 0.8693 0.8693

VASP calculation (GGA-PBE) on a relaxed structure of CaPmTm2Au4.

Output
size of the total moment = 0.000 μB/cell
V = 23.423 Å³/atom
calculated total energy = -4.423 eV/atom
ΔE_f = -0.822 eV per atom

Cell lengths 8.8567, 8.8567, 8.8567 Å; angles 33.39, 33.39, 33.39 degrees
Atoms (fractional coordinates):
Ca 0.0000 0.0000 0.0000
Pm 0.5000 0.5000 0.5000
Tm 0.2524 0.2524 0.2524
Tm 0.7476 0.7476 0.7476
Au 0.1264 0.1264 0.1264
Au 0.3766 0.3766 0.3766
Au 0.6234 0.6234 0.6234
Au 0.8736 0.8736 0.8736

VASP calculation (GGA-PBE) on a relaxed structure of CaPm2ZnAu4.

Output
size of the total moment = 0.000 μB/cell
V = 22.856 Å³/atom
calculated total energy = -3.933 eV/atom
ΔE_f = -0.698 eV per atom

Cell lengths 8.7663, 8.7663, 8.7663 Å; angles 33.51, 33.51, 33.51 degrees
Atoms (fractional coordinates):
Ca 0.0000 0.0000 0.0000
Pm 0.2428 0.2428 0.2428
Pm 0.7572 0.7572 0.7572
Zn 0.5000 0.5000 0.5000
Au 0.1220 0.1220 0.1220
Au 0.3749 0.3749 0.3749
Au 0.6251 0.6251 0.6251
Au 0.8780 0.8780 0.8780

VASP calculation (GGA-PBE) on a relaxed structure of CaPrAu4.

Output
size of the total moment = 0.000 μB/cell
V = 23.618 Å³/atom
calculated total energy = -4.025 eV/atom
E above lowest polymorph = 0.13 eV/f.u.
ΔE_f = -0.710 eV per atom

Cell lengths 4.8414, 3.5863, 8.1645 Å; angles 90.00, 91.51, 90.00 degrees
Atoms (fractional coordinates):
Ca 0.0000 0.0000 0.0000
Pr 0.5000 0.0000 0.5000
Au 0.0029 0.5000 0.3300
Au 0.4959 0.5000 0.1680
Au 0.5041 0.5000 0.8320
Au 0.9971 0.5000 0.6700

VASP calculation (GGA-PBE) on a relaxed structure of Ca3Pr2Au2.

Output
size of the total moment = 0.000 μB/cell
V = 31.530 Å³/atom
calculated total energy = -3.625 eV/atom
ΔE_f = -0.466 eV per atom

Cell lengths 6.8706, 6.8706, 9.7202 Å; angles 116.16, 116.16, 32.79 degrees
Atoms (fractional coordinates):
Ca 0.0000 0.0000 0.0000
Ca 0.1152 0.1152 0.4366
Ca 0.8848 0.8848 0.5634
Pr 0.3288 0.3288 0.1761
Pr 0.6712 0.6712 0.8239
Au 0.3273 0.3273 0.7648
Au 0.6727 0.6727 0.2352

VASP calculation (GGA-PBE) on a relaxed structure of Ca5PrAu6.

Output
size of the total moment = 0.000 μB/cell
V = 24.491 Å³/atom
calculated total energy = -3.658 eV/atom
ΔE_f = -0.787 eV per atom

Cell lengths 5.1711, 7.3467, 8.1448 Å; angles 90.00, 108.23, 90.00 degrees
Atoms (fractional coordinates):
Ca 0.0000 0.0000 0.0000
Ca 0.3300 0.5000 0.6606
Ca 0.3335 0.0000 0.6675
Ca 0.6665 0.0000 0.3325
Ca 0.6700 0.5000 0.3394
Pr 0.0000 0.5000 0.0000
Au 0.1653 0.2487 0.3299
Au 0.1653 0.7513 0.3299
Au 0.5000 0.2548 0.0000
Au 0.5000 0.7452 0.0000
Au 0.8347 0.2487 0.6701
Au 0.8347 0.7513 0.6701

VASP calculation (GGA-PBE) on a relaxed structure of CaPrAu4.

Output
size of the total moment = 0.000 μB/cell
V = 22.320 Å³/atom
calculated total energy = -3.875 eV/atom
E above lowest polymorph = 1.03 eV/f.u.
ΔE_f = -0.560 eV per atom

Cell lengths 5.7427, 5.7427, 5.7427 Å; angles 60.00, 60.00, 60.00 degrees
Atoms (fractional coordinates):
Ca 0.0000 0.0000 0.0000
Pr 0.2500 0.2500 0.2500
Au 0.1231 0.6256 0.6256
Au 0.6256 0.1231 0.6256
Au 0.6256 0.6256 0.1231
Au 0.6256 0.6256 0.6256

VASP calculation (GGA-PBE) on a relaxed structure of CaPrAu.

Output
size of the total moment = 0.000 μB/cell
V = 29.081 Å³/atom
calculated total energy = -3.867 eV/atom
E above lowest polymorph = 0.02 eV/f.u.
ΔE_f = -0.514 eV per atom

Cell lengths 7.7636, 7.7636, 5.0142 Å; angles 90.00, 90.00, 120.00 degrees
Atoms (fractional coordinates):
Ca 0.0000 0.2587 0.0000
Ca 0.2587 0.0000 0.0000
Ca 0.7413 0.7413 0.0000
Pr 0.0000 0.5931 0.5000
Pr 0.4069 0.4069 0.5000
Pr 0.5931 0.0000 0.5000
Au 0.0000 0.0000 0.5000
Au 0.3333 0.6667 0.0000
Au 0.6667 0.3333 0.0000

VASP calculation (GGA-PBE) on a relaxed structure of CaPr2Au3.

Output
size of the total moment = 0.000 μB/cell
V = 25.686 Å³/atom
calculated total energy = -4.333 eV/atom
E above lowest polymorph = 0.00 eV/f.u.
ΔE_f = -0.767 eV per atom

Cell lengths 8.3445, 8.3445, 3.7138 Å; angles 90.00, 90.00, 143.42 degrees
Atoms (fractional coordinates):
Ca 0.0000 0.0000 0.0000
Pr 0.3376 0.6624 0.0000
Pr 0.6624 0.3376 0.0000
Au 0.1727 0.8273 0.5000
Au 0.5000 0.5000 0.5000
Au 0.8273 0.1727 0.5000

VASP calculation (GGA-PBE) on a relaxed structure of CaPrAu.

Output
size of the total moment = 0.000 μB/cell
V = 30.315 Å³/atom
calculated total energy = -3.852 eV/atom
E above lowest polymorph = 0.06 eV/f.u.
ΔE_f = -0.499 eV per atom

Cell lengths 7.0931, 7.0931, 7.0931 Å; angles 149.64, 149.64, 43.48 degrees
Atoms (fractional coordinates):
Ca 0.0000 0.0000 0.0000
Pr 0.2700 0.2700 0.0000
Au 0.6367 0.6367 0.0000

VASP calculation (GGA-PBE) on a relaxed structure of CaPr2Au2.

Output
size of the total moment = 0.000 μB/cell
V = 28.486 Å³/atom
calculated total energy = -4.281 eV/atom
ΔE_f = -0.658 eV per atom

Cell lengths 8.4384, 8.4384, 4.0005 Å; angles 90.00, 90.00, 90.00 degrees
Atoms (fractional coordinates):
Ca 0.0000 0.0000 0.0000
Ca 0.5000 0.5000 0.0000
Pr 0.1597 0.3403 0.5000
Pr 0.3403 0.8403 0.5000
Pr 0.6597 0.1597 0.5000
Pr 0.8403 0.6597 0.5000
Au 0.1337 0.6337 0.0000
Au 0.3663 0.1337 0.0000
Au 0.6337 0.8663 0.0000
Au 0.8663 0.3663 0.0000

VASP calculation (GGA-PBE) on a relaxed structure of CaPrAu3.

Output
size of the total moment = 0.000 μB/cell
V = 24.703 Å³/atom
calculated total energy = -4.076 eV/atom
ΔE_f = -0.753 eV per atom

Cell lengths 14.2672, 14.2672, 4.6687 Å; angles 90.00, 90.00, 164.93 degrees
Atoms (fractional coordinates):
Ca 0.2077 0.7923 0.7500
Ca 0.7923 0.2077 0.2500
Pr 0.0730 0.9270 0.2500
Pr 0.9270 0.0730 0.7500
Au 0.3190 0.6810 0.7500
Au 0.3777 0.6223 0.2500
Au 0.4749 0.5251 0.2500
Au 0.5251 0.4749 0.7500
Au 0.6223 0.3777 0.7500
Au 0.6810 0.3190 0.2500

VASP calculation (GGA-PBE) on a relaxed structure of Ca2Pr2Au3.

Output
size of the total moment = 0.000 μB/cell
V = 28.499 Å³/atom
calculated total energy = -3.988 eV/atom
ΔE_f = -0.646 eV per atom

Cell lengths 5.1842, 5.1842, 9.0766 Å; angles 106.51, 106.51, 59.96 degrees
Atoms (fractional coordinates):
Ca 0.1284 0.1284 0.3855
Ca 0.8716 0.8716 0.6145
Pr 0.3774 0.3774 0.1327
Pr 0.6226 0.6226 0.8673
Au 0.2572 0.2572 0.7722
Au 0.5000 0.5000 0.5000
Au 0.7428 0.7428 0.2278

VASP calculation (GGA-PBE) on a relaxed structure of CaPr4Au5.

Output
size of the total moment = 0.000 μB/cell
V = 25.910 Å³/atom
calculated total energy = -4.506 eV/atom
ΔE_f = -0.755 eV per atom

Cell lengths 3.7067, 3.7067, 18.8583 Å; angles 90.00, 90.00, 90.00 degrees
Atoms (fractional coordinates):
Ca 0.0000 0.0000 0.0000
Pr 0.0000 0.0000 0.1963
Pr 0.0000 0.0000 0.3993
Pr 0.0000 0.0000 0.6007
Pr 0.0000 0.0000 0.8037
Au 0.5000 0.5000 0.1007
Au 0.5000 0.5000 0.2980
Au 0.5000 0.5000 0.5000
Au 0.5000 0.5000 0.7020
Au 0.5000 0.5000 0.8993